# 1
Entry from the Alexandria database: a relaxed HoPuAu2 crystal (PBE-GGA).

POSCAR file:
```
HoPuAu2
1.0
-4.050 -0.351 3.106
-1.966 -4.586 1.132
0.546 -1.926 4.708
Au Ho Pu
2 1 1
Cartesian
-1.367 -1.716 2.237 Au
-4.102 -5.147 6.710 Au
0.000 0.000 0.000 Ho
-2.735 -3.431 4.473 Pu
```

**Electronic total energy**: -27.9 eV/f.u.
**Total magnetization**: 5.67 μB/cell

=====

# 2
Entry from the Alexandria database: a relaxed HoPuAu4 crystal (PBE-GGA).

POSCAR file:
```
HoPuAu4
1.0
-0.189 -4.251 -0.951
4.225 0.557 -3.332
5.576 -1.100 3.810
Ho Pu Au
1 1 4
Cartesian
6.991 0.002 -1.426 Ho
7.572 -2.952 1.669 Pu
5.098 -1.856 -2.739 Au
4.470 -2.948 2.268 Au
5.826 -0.548 1.268 Au
3.931 -0.004 -0.789 Au
```

**Electronic total energy**: -35.2 eV/f.u.
**Total magnetization**: 5.71 μB/cell

=====

Which value of total magnetization does entry 1 give?
5.67 μB/cell